Material: K3Ti4Si3O20
Method: DFT, GGA-PBE
State: optimized geometry

Cell: 7.873 7.873 7.873 Å, 90.00 90.00 90.00°
Fractional positions:
K  0.000  0.000  0.500
K  0.000  0.500  0.000
K  0.500  0.000  0.000
Ti  0.346  0.346  0.654
Ti  0.346  0.654  0.346
Ti  0.654  0.346  0.346
Ti  0.654  0.654  0.654
Si  0.000  0.500  0.500
Si  0.500  0.000  0.500
Si  0.500  0.500  0.000
O  0.115  0.377  0.623
O  0.115  0.623  0.377
O  0.283  0.283  0.283
O  0.283  0.717  0.717
O  0.377  0.115  0.623
O  0.377  0.377  0.885
O  0.377  0.623  0.115
O  0.377  0.885  0.377
O  0.388  0.388  0.388
O  0.388  0.612  0.612
O  0.612  0.388  0.612
O  0.612  0.612  0.388
O  0.623  0.115  0.377
O  0.623  0.377  0.115
O  0.623  0.623  0.885
O  0.623  0.885  0.623
O  0.717  0.283  0.717
O  0.717  0.717  0.283
O  0.885  0.377  0.377
O  0.885  0.623  0.623

**SG**: No. 215
**Density of states at the Fermi level**: 10.88 states/eV/f.u.
**Raw formation energy**: -2.20 eV/atom